*P*
Entry from Alexandria via LeMat-Bulk: CoPAu3 after structural relaxation (PBE).

Properties
The calculation puts the density of states at the Fermi level at 5.996 states/eV/cell. Its size of the total moment is 2.1 μB per cell.

Unit cell a=4.738 b=4.738 c=4.738 alpha=90.00 beta=90.00 gamma=90.00
Element x y z (fractional)
Co 0.000 0.000 0.000
P 0.500 0.500 0.500
Au 0.000 0.000 0.500
Au 0.000 0.500 0.000
Au 0.500 0.000 0.000

=====

*Q*
Entry from Alexandria via LeMat-Bulk: CoPAu3 after structural relaxation (PBE).

Properties
The calculation puts the density of states at the Fermi level at 7.386 states/eV/cell. Its size of the total moment is 1.7 μB per cell.

Unit cell a=4.666 b=4.666 c=4.666 alpha=90.00 beta=90.00 gamma=90.00
Element x y z (fractional)
Co 0.000 0.000 0.000
P 0.500 0.500 0.500
Au 0.000 0.500 0.500
Au 0.500 0.000 0.500
Au 0.500 0.500 0.000

=====

Energies relative to the most stable structure, in meV per atom: *P* 395; *Q* 0.

=====

*P*
Entry from Alexandria via LeMat-Bulk: CoPAu2 after structural relaxation (PBE).

Properties
The calculation puts the density of states at the Fermi level at 2.807 states/eV/cell. Its size of the total moment is 0.4 μB per cell.

Unit cell a=6.703 b=6.703 c=3.539 alpha=96.05 beta=96.05 gamma=23.84
Element x y z (fractional)
Co 0.000 0.000 0.000
P 0.500 0.500 0.500
Au 0.322 0.322 0.774
Au 0.678 0.678 0.226

=====

*Q*
Entry from Alexandria via LeMat-Bulk: CoPAu2 after structural relaxation (PBE).

Properties
The calculation puts the density of states at the Fermi level at 3.482 states/eV/cell. Its size of the total moment is 1.4 μB per cell.

Unit cell a=4.450 b=4.450 c=4.450 alpha=60.00 beta=60.00 gamma=60.00
Element x y z (fractional)
Co 0.000 0.000 0.000
P 0.500 0.500 0.500
Au 0.250 0.250 0.250
Au 0.750 0.750 0.750

=====

*R*
Entry from Alexandria via LeMat-Bulk: CoPAu2 after structural relaxation (PBE).

Properties
The calculation puts the density of states at the Fermi level at 3.918 states/eV/cell. Its size of the total moment is 1.6 μB per cell.

Unit cell a=4.623 b=4.623 c=3.114 alpha=90.00 beta=90.00 gamma=108.37
Element x y z (fractional)
Co 0.000 0.000 0.000
P 0.500 0.500 0.000
Au 0.000 0.500 0.500
Au 0.500 0.000 0.500

=====

*S*
Entry from Alexandria via LeMat-Bulk: CoPAu2 after structural relaxation (PBE).

Properties
The calculation puts the density of states at the Fermi level at 2.918 states/eV/cell. Its size of the total moment is 2.0 μB per cell.

Unit cell a=2.789 b=2.789 c=8.229 alpha=90.00 beta=90.00 gamma=90.00
Element x y z (fractional)
Co 0.000 0.000 0.000
P 0.000 0.000 0.500
Au 0.500 0.500 0.231
Au 0.500 0.500 0.769

=====

Energies relative to the most stable structure, in meV per atom: *P* 0; *Q* 435; *R* 397; *S* 356.

=====

*P*
Entry from Alexandria via LeMat-Bulk: CoPAu2 after structural relaxation (PBE).

Properties
The calculation puts the density of states at the Fermi level at 4.370 states/eV/cell. Its size of the total moment is 1.3 μB per cell.

Unit cell a=4.809 b=4.809 c=4.809 alpha=130.81 beta=130.81 gamma=72.12
Element x y z (fractional)
Co 0.000 0.000 0.000
P 0.250 0.750 0.500
Au 0.500 0.500 0.000
Au 0.750 0.250 0.500

=====

*Q*
Entry from Alexandria via LeMat-Bulk: CoPAu2 after structural relaxation (PBE).

Properties
The calculation puts the density of states at the Fermi level at 1.655 states/eV/cell. Its size of the total moment is 0.0 μB per cell.

Unit cell a=2.937 b=2.937 c=7.006 alpha=90.00 beta=90.00 gamma=90.00
Element x y z (fractional)
Co 0.000 0.000 0.000
P 0.500 0.500 0.122
Au 0.000 0.000 0.419
Au 0.500 0.500 0.722

=====

Energies relative to the most stable structure, in meV per atom: *P* 397; *Q* 0.